# 1
Compound: Sr2CaSbIr
Source: the Alexandria database
Functional: PBE
Structure: relaxed

Unit cell a=6.2659 b=4.9456 c=6.2659 alpha=90.00 beta=90.00 gamma=90.00
Positions (direct):
Sb 0.0000 0.0000 0.0000
Ca 0.5000 0.5000 0.5000
Ir 0.0000 0.5000 0.0000
Sr 0.0000 0.0000 0.5000
Sr 0.5000 0.0000 0.0000

Output
total moment	0.0000	μB/atom
symmetry	P4/mmm (123)
crystal system	tetragonal
uncorrected formation energy	0.40	eV per formula unit

# 2
Compound: Zr2Ni5P3
Source: the Alexandria database
Functional: PBE
Structure: relaxed

Unit cell a=3.7740 b=6.2541 c=11.3127 alpha=90.00 beta=99.60 gamma=90.00
Positions (direct):
Zr 0.4761 0.7620 0.9522
Zr 0.1761 0.7363 0.3522
Zr 0.8239 0.2363 0.6478
Zr 0.5239 0.2620 0.0478
Ni 0.4051 0.3795 0.8102
Ni 0.2890 0.5229 0.5779
Ni 0.7110 0.0229 0.4221
Ni 0.1277 0.2381 0.2555
Ni 0.2904 0.9214 0.5808
Ni 0.9428 0.0933 0.8856
Ni 0.7096 0.4214 0.4192
Ni 0.8723 0.7381 0.7445
Ni 0.0572 0.5933 0.1144
Ni 0.5949 0.8795 0.1898
P 0.7690 0.7211 0.5380
P 0.6131 0.5144 0.2262
P 0.0479 0.9759 0.0957
P 0.2310 0.2211 0.4620
P 0.9521 0.4759 0.9043
P 0.3869 0.0144 0.7738

Output
total DFT energy (no corrections)	-7.05	eV per atom
total moment	0.0000	μB/atom
symmetry	Cmc2_1 (36)
crystal system	orthorhombic

# 3
Compound: La2TeCl
Source: the Alexandria database
Functional: PBE
Structure: relaxed

Unit cell a=4.2385 b=3.9173 c=7.4244 alpha=81.05 beta=90.00 gamma=90.00
Positions (direct):
Cl 0.5000 0.7500 0.7500
La 0.0000 0.8417 0.9967
La 0.0000 0.6583 0.5033
Te 0.5000 0.2500 0.2500

Output
total moment	0.0002	μB/atom
energy above the lowest structure with this stoichiometry	138	meV/atom
symmetry	P2/m (10)
crystal system	monoclinic
uncorrected formation energy	-5.66	eV per formula unit

# 4
Compound: MgScIn2
Source: the Alexandria database
Functional: PBE
Structure: relaxed

Unit cell a=3.2488 b=4.3790 c=6.3755 alpha=90.00 beta=90.00 gamma=90.00
Positions (direct):
In 0.0000 0.0000 0.9984
In 0.0000 0.0000 0.5016
Mg 0.5000 0.5000 0.2500
Sc 0.5000 0.5000 0.7500

Output
total DFT energy (no corrections)	-3.59	eV per atom
total moment	0.0001	μB/atom
symmetry	Pmmm (47)
crystal system	orthorhombic

# 5
Compound: SrAcLa2
Source: the Alexandria database
Functional: PBE
Structure: relaxed

Unit cell a=3.8896 b=3.8896 c=13.1700 alpha=81.51 beta=81.51 gamma=60.00
Positions (direct):
Sr 0.0000 0.0000 0.0000
Ac 0.5000 0.5000 0.5000
La 0.7544 0.7544 0.7367
La 0.2456 0.2456 0.2633

Output
total moment	0.0000	μB/atom
energy above the lowest structure with this stoichiometry	5	meV/atom
symmetry	R-3m (166)
crystal system	trigonal

# 6
Compound: GdLuGaFe
Source: the Alexandria database
Functional: PBE
Structure: relaxed

Unit cell a=4.9032 b=4.9032 c=4.9032 alpha=60.00 beta=60.00 gamma=60.00
Positions (direct):
Gd 0.2500 0.2500 0.2500
Lu 0.7500 0.7500 0.7500
Fe 0.0000 0.0000 0.0000
Ga 0.5000 0.5000 0.5000

Output
total DFT energy (no corrections)	-7.72	eV per atom
total moment	1.4416	μB/atom
symmetry	F-43m (216)
crystal system	cubic

# 7
Compound: In2SbTe
Source: the Alexandria database
Functional: PBE
Structure: relaxed

Unit cell a=5.4326 b=5.4326 c=5.4326 alpha=60.00 beta=60.00 gamma=60.00
Positions (direct):
Sb 0.0000 0.0000 0.0000
Te 0.5000 0.5000 0.5000
In 0.2500 0.2500 0.2500
In 0.7500 0.7500 0.7500

Output
total moment	0.0000	μB/atom
energy above the lowest structure with this stoichiometry	209	meV/atom
symmetry	Fm-3m (225)
crystal system	cubic
uncorrected formation energy	0.21	eV per formula unit

# 8
Compound: Pm3Pr4NdS8
Source: the Alexandria database
Functional: PBE
Structure: relaxed

Unit cell a=8.1440 b=8.1570 c=8.1433 alpha=119.93 beta=120.00 gamma=90.00
Positions (direct):
Pm 0.5000 0.5000 0.0000
Pm 0.5000 0.5000 0.5000
Pm 0.0000 0.5000 0.5000
Pr 0.5000 0.0000 0.0000
Pr 0.5000 0.0000 0.5000
Pr 0.0000 0.0000 0.0000
Pr 0.0000 0.0000 0.5000
Nd 0.0000 0.5000 0.0000
S 0.2488 0.7442 0.9953
S 0.2488 0.7442 0.4977
S 0.2523 0.2570 0.5047
S 0.7465 0.7442 0.9953
S 0.2535 0.2558 0.0047
S 0.7477 0.7430 0.4953
S 0.7512 0.2558 0.5023
S 0.7512 0.2558 0.0047

Output
total moment	0.0000	μB/atom
symmetry	R-3m (166)
crystal system	trigonal
uncorrected formation energy	-32.36	eV per formula unit

# 9
Compound: Zn2BrO2
Source: the Alexandria database
Functional: PBE
Structure: relaxed

Unit cell a=6.8459 b=6.8459 c=2.9672 alpha=90.00 beta=90.00 gamma=90.00
Positions (direct):
Zn 0.3727 0.8727 0.0000
Zn 0.8727 0.6273 0.0000
Zn 0.6273 0.1273 0.0000
Zn 0.1273 0.3727 0.0000
O 0.1168 0.6168 0.5000
O 0.6168 0.8832 0.5000
O 0.8832 0.3832 0.5000
O 0.3832 0.1168 0.5000
Br 0.0000 0.0000 0.0000
Br 0.5000 0.5000 0.0000

Output
total moment	0.1544	μB/atom
energy above the lowest structure with this stoichiometry	482	meV/atom
symmetry	P4/mbm (127)
crystal system	tetragonal
uncorrected formation energy	-1.36	eV per formula unit

# 10
Compound: HfCuNiPt
Source: the Alexandria database
Functional: PBE
Structure: relaxed

Unit cell a=3.9000 b=3.9000 c=4.7433 alpha=114.28 beta=114.27 gamma=90.00
Positions (direct):
Hf 0.5000 0.5000 0.0000
Cu 0.0000 0.0000 0.0000
Ni 0.2500 0.7500 0.5000
Pt 0.7500 0.2500 0.5000

Output
total DFT energy (no corrections)	-7.11	eV per atom
total moment	0.0000	μB/atom
symmetry	I-4m2 (119)
crystal system	tetragonal

# 11
Compound: CaCoSe
Source: the Alexandria database
Functional: PBE
Structure: relaxed

Unit cell a=4.7149 b=4.7149 c=4.7149 alpha=60.00 beta=60.00 gamma=60.00
Positions (direct):
Ca 0.7500 0.7500 0.7500
Co 0.0000 0.0000 0.0000
Se 0.5000 0.5000 0.5000

Output
total moment	0.6316	μB/atom
energy above the lowest structure with this stoichiometry	825	meV/atom
symmetry	F-43m (216)
crystal system	cubic
uncorrected formation energy	0.22	eV per formula unit

# 12
Compound: NdYC4
Source: the Alexandria database
Functional: PBE
Structure: relaxed

Unit cell a=3.7556 b=4.1980 c=6.6503 alpha=80.29 beta=73.60 gamma=63.43
Positions (direct):
Nd 0.0000 0.0000 0.0000
Y 0.5000 0.5000 0.5000
C 0.8060 0.6011 0.7869
C 0.3008 0.0871 0.3113
C 0.1940 0.3989 0.2131
C 0.6992 0.9129 0.6887

Output
total DFT energy (no corrections)	-8.17	eV per atom
total moment	0.0000	μB/atom
symmetry	C2/m (12)
crystal system	monoclinic

# 13
Compound: LiTiPt
Source: the Alexandria database
Functional: PBE
Structure: relaxed

Unit cell a=3.1668 b=3.1658 c=18.2305 alpha=90.00 beta=90.00 gamma=90.00
Positions (direct):
Li 0.2499 0.2501 0.4614
Li 0.2501 0.2499 0.9614
Li 0.7501 0.7499 0.5386
Li 0.7499 0.7501 0.0386
Ti 0.2502 0.2498 0.8000
Ti 0.7502 0.7498 0.7000
Ti 0.7498 0.7502 0.2000
Ti 0.2498 0.2502 0.3000
Pt 0.7498 0.7502 0.3764
Pt 0.2498 0.2502 0.1236
Pt 0.7502 0.7498 0.8764
Pt 0.2502 0.2498 0.6236

Output
total moment	0.0000	μB/atom
energy above the lowest structure with this stoichiometry	0	meV/atom
symmetry	P4/nmm (129)
crystal system	tetragonal

# 14
Compound: ScRe2SeS
Source: the Alexandria database
Functional: PBE
Structure: relaxed

Unit cell a=4.3620 b=4.8739 c=4.3620 alpha=90.00 beta=90.00 gamma=90.00
Positions (direct):
Sc 0.0000 0.5000 0.0000
Re 0.0000 0.0000 0.5000
Re 0.5000 0.0000 0.0000
S 0.0000 0.0000 0.0000
Se 0.5000 0.5000 0.5000

Output
total moment	0.0000	μB/atom
symmetry	P4/mmm (123)
crystal system	tetragonal
uncorrected formation energy	2.33	eV per formula unit

# 15
Compound: Sc2InPb
Source: the Alexandria database
Functional: PBE
Structure: relaxed

Unit cell a=3.5547 b=4.5089 c=6.2148 alpha=90.00 beta=90.00 gamma=90.00
Positions (direct):
In 0.0000 0.0000 0.4661
Pb 0.5000 0.5000 0.7731
Sc 0.0000 0.0000 0.9963
Sc 0.5000 0.5000 0.2646

Output
total DFT energy (no corrections)	-5.00	eV per atom
total moment	0.0000	μB/atom
symmetry	Pmm2 (25)
crystal system	orthorhombic

# 16
Compound: Ca3ZnGa3
Source: the Alexandria database
Functional: PBE
Structure: relaxed

Unit cell a=4.4434 b=5.9385 c=14.1170 alpha=85.38 beta=80.95 gamma=68.03
Positions (direct):
Ca 0.5365 0.3110 0.6159
Ca 0.4635 0.6890 0.3841
Ca 0.2522 0.2666 0.2290
Ca 0.7478 0.7334 0.7710
Ca 0.3926 0.2928 0.9221
Ca 0.6074 0.7072 0.0779
Zn 0.7540 0.0950 0.3969
Zn 0.2460 0.9050 0.6031
Ga 0.8688 0.7203 0.5420
Ga 0.1312 0.2797 0.4580
Ga 0.1031 0.8708 0.9229
Ga 0.8969 0.1292 0.0771
Ga 0.9586 0.8490 0.2338
Ga 0.0414 0.1510 0.7662

Output
total DFT energy (no corrections)	-2.78	eV per atom
total moment	0.0000	μB/atom
symmetry	C2/m (12)
crystal system	monoclinic

# 17
Compound: SrScSe
Source: the Alexandria database
Functional: PBE
Structure: relaxed

Unit cell a=5.2700 b=5.2700 c=5.2700 alpha=60.00 beta=60.00 gamma=60.00
Positions (direct):
Sc 0.0000 0.0000 0.0000
Se 0.5000 0.5000 0.5000
Sr 0.7500 0.7500 0.7500

Output
total moment	0.7068	μB/atom
energy above the lowest structure with this stoichiometry	1146	meV/atom
symmetry	F-43m (216)
crystal system	cubic
uncorrected formation energy	0.53	eV per formula unit

# 18
Compound: EuMg2As2
Source: the Alexandria database
Functional: PBE
Structure: relaxed

Unit cell a=4.4182 b=4.4182 c=7.2666 alpha=90.00 beta=90.00 gamma=120.00
Positions (direct):
Eu 0.0000 0.0000 0.0000
As 0.6667 0.3333 0.7456
As 0.3333 0.6667 0.2544
Mg 0.3333 0.6667 0.6320
Mg 0.6667 0.3333 0.3680

Output
total DFT energy (no corrections)	-5.52	eV per atom
total moment	1.4000	μB/atom
symmetry	P-3m1 (164)
crystal system	trigonal

# 19
Compound: Pr4Nd2Hg
Source: the Alexandria database
Functional: PBE
Structure: relaxed

Unit cell a=3.6445 b=8.7390 c=8.7287 alpha=116.83 beta=102.05 gamma=90.00
Positions (direct):
Pr 0.9170 0.2996 0.8339
Pr 0.0830 0.7004 0.1661
Pr 0.6252 0.3769 0.2504
Pr 0.3748 0.6231 0.7496
Nd 0.7845 0.8610 0.5690
Nd 0.2155 0.1390 0.4310
Hg 0.0000 0.0000 0.0000

Output
total DFT energy (no corrections)	-4.15	eV per atom
total moment	0.0000	μB/atom
symmetry	C2/m (12)
crystal system	monoclinic

# 20
Compound: NbHgS2
Source: the Alexandria database
Functional: PBE
Structure: relaxed

Unit cell a=10.8343 b=10.8343 c=4.6954 alpha=90.00 beta=90.00 gamma=161.80
Positions (direct):
S 0.1691 0.8309 0.2500
S 0.8309 0.1691 0.7500
S 0.9364 0.0636 0.2500
S 0.0636 0.9364 0.7500
Nb 0.0495 0.9505 0.2500
Nb 0.9505 0.0495 0.7500
Hg 0.3114 0.6886 0.2500
Hg 0.6886 0.3114 0.7500

Output
total moment	0.0000	μB/atom
symmetry	Cmcm (63)
crystal system	orthorhombic
uncorrected formation energy	-0.44	eV per formula unit

# 21
Compound: Pr5Sm2Th4
Source: the Alexandria database
Functional: PBE
Structure: relaxed

Unit cell a=12.1829 b=12.1829 c=9.5250 alpha=93.68 beta=93.68 gamma=16.44
Positions (direct):
Pr 0.1652 0.1652 0.9368
Pr 0.8348 0.8348 0.0632
Pr 0.1255 0.1255 0.5348
Pr 0.5000 0.5000 0.0000
Pr 0.8745 0.8745 0.4652
Sm 0.7409 0.7409 0.3303
Sm 0.2591 0.2591 0.6697
Th 0.6159 0.6159 0.2106
Th 0.0031 0.0031 0.3244
Th 0.3841 0.3841 0.7894
Th 0.9969 0.9969 0.6756

Output
total DFT energy (no corrections)	-5.42	eV per atom
total moment	0.0000	μB/atom
symmetry	C2/m (12)
crystal system	monoclinic

# 22
Compound: Tl2TePd9
Source: the Alexandria database
Functional: PBE
Structure: relaxed

Unit cell a=4.0834 b=4.0834 c=12.2461 alpha=90.00 beta=90.00 gamma=90.00
Positions (direct):
Tl 0.0000 0.0000 0.3356
Tl 0.0000 0.0000 0.6644
Te 0.0000 0.0000 0.0000
Pd 0.5000 0.5000 0.0000
Pd 0.5000 0.5000 0.3298
Pd 0.5000 0.5000 0.6702
Pd 0.5000 0.0000 0.1630
Pd 0.5000 0.0000 0.5000
Pd 0.5000 0.0000 0.8370
Pd 0.0000 0.5000 0.1630
Pd 0.0000 0.5000 0.5000
Pd 0.0000 0.5000 0.8370

Output
total moment	0.0000	μB/atom
symmetry	P4/mmm (123)
crystal system	tetragonal
uncorrected formation energy	-2.55	eV per formula unit

# 23
Compound: RbBrN2
Source: the Alexandria database
Functional: PBE
Structure: relaxed

Unit cell a=6.7559 b=6.0498 c=9.9780 alpha=90.00 beta=109.86 gamma=90.00
Positions (direct):
Rb 0.7131 0.7500 0.9263
Rb 0.2869 0.2500 0.0737
Br 0.7953 0.2500 0.0904
Br 0.2047 0.7500 0.9096
N 0.4193 0.6580 0.3433
N 0.5807 0.3420 0.6567
N 0.4193 0.8420 0.3433
N 0.5807 0.1580 0.6567

Output
total moment	0.0263	μB/atom
energy above the lowest structure with this stoichiometry	0	meV/atom
symmetry	P2_1/m (11)
crystal system	monoclinic
uncorrected formation energy	-3.25	eV per formula unit

# 24
Compound: PmPa2Pt4
Source: the Alexandria database
Functional: PBE
Structure: relaxed

Unit cell a=5.3460 b=7.5236 c=8.8427 alpha=97.11 beta=69.61 gamma=110.81
Positions (direct):
Pm 0.6381 0.2763 0.7500
Pm 0.3619 0.7237 0.2500
Pa 0.2530 0.2405 0.4178
Pa 0.0126 0.7595 0.9178
Pa 0.9874 0.2405 0.0822
Pa 0.7470 0.7595 0.5822
Pt 0.5812 0.4074 0.1018
Pt 0.8261 0.4074 0.3982
Pt 0.4188 0.5926 0.8982
Pt 0.1739 0.5926 0.6018
Pt 0.0339 0.0678 0.7500
Pt 0.9661 0.9322 0.2500
Pt 0.5000 0.0000 0.0000
Pt 0.5000 0.0000 0.5000

Output
total DFT energy (no corrections)	-7.78	eV per atom
total moment	0.0000	μB/atom
symmetry	C2/c (15)
crystal system	monoclinic

# 25
Compound: PrCu2Ni3
Source: the Alexandria database
Functional: PBE
Structure: relaxed

Unit cell a=5.4084 b=6.0908 c=6.0908 alpha=100.77 beta=90.00 gamma=90.00
Positions (direct):
Pr 0.7500 0.3197 0.6803
Pr 0.2500 0.6803 0.3197
Cu 0.0000 0.8404 0.8404
Cu 0.5000 0.8404 0.8404
Cu 0.0000 0.1596 0.1596
Cu 0.5000 0.1596 0.1596
Ni 0.2500 0.1620 0.8380
Ni 0.2500 0.5212 0.7791
Ni 0.7500 0.7791 0.5212
Ni 0.2500 0.2209 0.4788
Ni 0.7500 0.4788 0.2209
Ni 0.7500 0.8380 0.1620

Output
total DFT energy (no corrections)	-4.99	eV per atom
total moment	0.0000	μB/atom
symmetry	Cmcm (63)
crystal system	orthorhombic